LuTlCoPd, relaxed, DFT PBE; E above lowest polymorph = 81 kJ/mol of formula units; crystal system = cubic
1.0
0.000 3.348 3.348
3.348 0.000 3.348
3.348 3.348 0.000
Lu Tl Co Pd
1 1 1 1
Cartesian
0.000 0.000 0.000
1.674 1.674 1.674
3.348 3.348 3.348
5.023 5.023 5.023

***

Y4Ag2Sn, relaxed, DFT PBE; crystal system = orthorhombic
1.0
4.297 -5.891 0.000
4.297 5.891 0.000
0.000 0.000 3.989
Y Ag Sn
4 2 1
Cartesian
1.839 0.000 1.994
4.297 3.219 0.000
4.297 -3.219 0.000
6.755 0.000 1.994
2.148 2.946 1.994
2.148 -2.946 1.994
4.297 0.000 0.000

***

ThAlB4, relaxed, DFT PBE; E above lowest polymorph = 0 kJ/mol of formula units; crystal system = hexagonal
1.0
3.131 0.000 0.000
-1.566 2.712 0.000
0.000 0.000 7.597
Th Al B
1 1 4
Cartesian
0.000 0.000 0.000
0.000 0.000 3.799
0.000 1.808 2.212
0.000 1.808 5.385
1.566 0.904 2.212
1.566 0.904 5.385

***

Sr2InSiIr2, relaxed, DFT PBE; crystal system = tetragonal
1.0
4.372 0.000 0.000
0.000 4.372 0.000
0.000 0.000 7.731
Sr In Si Ir
2 1 1 2
Cartesian
0.000 0.000 0.000
2.186 2.186 2.826
0.000 0.000 3.772
2.186 2.186 6.464
0.000 2.186 5.427
2.186 0.000 5.427

***

Here are the calculated VASP energy numbers, same order: -4.86, -5.23, -6.54, -5.39 (eV/atom).